This record from Alexandria describes a geometry-optimized CeTmFe10 structure. The functional is GGA-PBE.

abc: 3.9809 4.9819 8.5933
angles: 90.00 90.00 90.00
Last column: nearest neighbours and their distance in Å.
Fractional coordinates of all 12 atoms:
Ce  0.0000  0.0000  0.0000  18 Fe 2.87-3.21
Tm  0.0000  0.5000  0.5000  18 Fe 2.86-3.19
Fe  0.0000  0.0000  0.3339  6 Fe 2.45
Fe  0.0000  0.0000  0.6661  6 Fe 2.45
Fe  0.0000  0.5000  0.1670  6 Fe 2.45-2.46
Fe  0.0000  0.5000  0.8330  6 Fe 2.45-2.46
Fe  0.5000  0.0000  0.5000  8 Fe 2.45-2.46
Fe  0.5000  0.2526  0.2544  8 Fe 2.45-2.52
Fe  0.5000  0.2526  0.7456  8 Fe 2.45-2.52
Fe  0.5000  0.5000  0.0000  8 Fe 2.45-2.51
Fe  0.5000  0.7474  0.2544  8 Fe 2.45-2.52
Fe  0.5000  0.7474  0.7456  8 Fe 2.45-2.52

Values from the calculation:
For the calculated total energy, the calculation gives -7.959 eV/atom. As for the space group: Pmmm (47).


This record from Alexandria describes a geometry-optimized Ta6ReMo2 structure. The functional is GGA-PBE.

abc: 7.1127 7.1127 5.4345
angles: 111.24 111.24 37.49
Last column: nearest neighbours and their distance in Å.
Fractional coordinates of all 9 atoms:
Ta  0.0532  0.0532  0.2874  2 Mo 2.76-2.77, 2 Re 2.78, 4 Ta 2.90
Ta  0.2803  0.2803  0.3795  3 Mo 2.78, 1 Re 2.78, 4 Ta 2.90
Ta  0.3869  0.3869  0.9542  1 Re 2.77, 3 Mo 2.78-2.79, 4 Ta 2.89-2.90
Ta  0.6131  0.6131  0.0458  1 Re 2.77, 3 Mo 2.78-2.79, 4 Ta 2.89-2.90
Ta  0.7197  0.7197  0.6205  3 Mo 2.78, 1 Re 2.78, 4 Ta 2.90
Ta  0.9468  0.9468  0.7126  2 Mo 2.76-2.77, 2 Re 2.78, 4 Ta 2.90
Re  0.5000  0.5000  0.5000  8 Ta 2.77-2.78
Mo  0.1660  0.1660  0.8327  8 Ta 2.76-2.79
Mo  0.8340  0.8340  0.1673  8 Ta 2.76-2.79

Values from the calculation:
For the calculated total energy, the calculation gives -11.925 eV/atom. The value obtained for the energy above the lowest structure with this stoichiometry is 0 meV per atom. As for the space group: C2/m (12).


no.,formation energy (meV per atom)
1,-39
2,-233